1.
# GGA-PBE Tb2GdMg3Pd2Au, relaxed
# **Final energy**: -0.157 Ha/atom
# **Crystal system**: orthorhombic
data_Tb2GdMg3Pd2Au
_chemical_formula_sum 'Tb4 Gd2 Mg6 Pd4 Au2'
_cell_length_a 4.091
_cell_length_b 13.014
_cell_length_c 7.513
_cell_angle_alpha 90.00
_cell_angle_beta 90.00
_cell_angle_gamma 90.00
_space_group_name_H-M_alt 'A m m 2'
_space_group_IT_number 38
loop_
_space_group_symop_operation_xyz
'x,y,z'
'-x,-y,z'
'-x,y,z'
'x,-y,z'
'x,y+1/2,z+1/2'
'-x,-y+1/2,z+1/2'
'-x,y+1/2,z+1/2'
'x,-y+1/2,z+1/2'
loop_
_atom_site_label
_atom_site_fract_x
_atom_site_fract_y
_atom_site_fract_z
Tb1 0.000 0.207 0.000
Gd1 0.000 0.000 0.378
Mg1 0.500 0.000 0.041
Mg2 0.500 0.124 0.669
Pd1 0.500 0.167 0.293
Au1 0.000 0.000 0.794

=====

2.
# GGA-PBE Gd2YMg3Pd2Au, relaxed
# **Final energy**: -0.164 Ha/atom
# **Crystal system**: orthorhombic
data_Gd2YMg3Pd2Au
_chemical_formula_sum 'Gd4 Y2 Mg6 Pd4 Au2'
_cell_length_a 4.087
_cell_length_b 13.068
_cell_length_c 7.510
_cell_angle_alpha 90.00
_cell_angle_beta 90.00
_cell_angle_gamma 90.00
_space_group_name_H-M_alt 'A m m 2'
_space_group_IT_number 38
loop_
_space_group_symop_operation_xyz
'x,y,z'
'-x,-y,z'
'-x,y,z'
'x,-y,z'
'x,y+1/2,z+1/2'
'-x,-y+1/2,z+1/2'
'-x,y+1/2,z+1/2'
'x,-y+1/2,z+1/2'
loop_
_atom_site_label
_atom_site_fract_x
_atom_site_fract_y
_atom_site_fract_z
Gd1 0.000 0.208 0.000
Y1 0.000 0.000 0.378
Mg1 0.500 0.000 0.042
Mg2 0.500 0.124 0.668
Pd1 0.500 0.167 0.292
Au1 0.000 0.000 0.793

=====

3.
# GGA-PBE PrGd2Mg3Pt2Au, relaxed
# **Final energy**: -0.170 Ha/atom
# **Crystal system**: orthorhombic
data_PrGd2Mg3Pt2Au
_chemical_formula_sum 'Pr2 Gd4 Mg6 Pt4 Au2'
_cell_length_a 4.088
_cell_length_b 13.111
_cell_length_c 7.533
_cell_angle_alpha 90.00
_cell_angle_beta 90.00
_cell_angle_gamma 90.00
_space_group_name_H-M_alt 'A m m 2'
_space_group_IT_number 38
loop_
_space_group_symop_operation_xyz
'x,y,z'
'-x,-y,z'
'-x,y,z'
'x,-y,z'
'x,y+1/2,z+1/2'
'-x,-y+1/2,z+1/2'
'-x,y+1/2,z+1/2'
'x,-y+1/2,z+1/2'
loop_
_atom_site_label
_atom_site_fract_x
_atom_site_fract_y
_atom_site_fract_z
Pr1 0.000 0.000 0.000
Gd1 0.000 0.208 0.374
Mg1 0.500 0.000 0.336
Mg2 0.500 0.125 0.705
Pt1 0.500 0.170 0.084
Au1 0.000 0.000 0.578

=====

4.
# GGA-PBE Gd3Mg3PtAu2, relaxed
# **Final energy**: -0.155 Ha/atom
# **Crystal system**: hexagonal
data_Gd3Mg3PtAu2
_chemical_formula_sum 'Gd3 Mg3 Pt1 Au2'
_cell_length_a 7.5044
_cell_length_b 7.5044
_cell_length_c 4.1416
_cell_angle_alpha 90.00
_cell_angle_beta 90.00
_cell_angle_gamma 120.00
_space_group_name_H-M_alt 'P -6 2 m'
_space_group_IT_number 189
_space_group_name_Hall 'P -6 -2'
loop_
_atom_site_label
_atom_site_fract_x
_atom_site_fract_y
_atom_site_fract_z
Gd1 0.0000 0.5942 0.0000
Mg1 0.0000 0.2391 0.5000
Pt1 0.0000 0.0000 0.0000
Au1 0.3333 0.6667 0.5000

=====

5.
# GGA-PBE Tb2GdMg3Pt2Au, relaxed
# **Final energy**: -0.170 Ha/atom
# **Crystal system**: orthorhombic
data_Tb2GdMg3Pt2Au
_chemical_formula_sum 'Tb4 Gd2 Mg6 Pt4 Au2'
_cell_length_a 4.070
_cell_length_b 12.948
_cell_length_c 7.474
_cell_angle_alpha 90.00
_cell_angle_beta 90.00
_cell_angle_gamma 90.00
_space_group_name_H-M_alt 'A m m 2'
_space_group_IT_number 38
loop_
_space_group_symop_operation_xyz
'x,y,z'
'-x,-y,z'
'-x,y,z'
'x,-y,z'
'x,y+1/2,z+1/2'
'-x,-y+1/2,z+1/2'
'-x,y+1/2,z+1/2'
'x,-y+1/2,z+1/2'
loop_
_atom_site_label
_atom_site_fract_x
_atom_site_fract_y
_atom_site_fract_z
Tb1 0.000 0.208 0.000
Gd1 0.000 0.000 0.375
Mg1 0.500 0.000 0.042
Mg2 0.500 0.125 0.666
Pt1 0.500 0.167 0.292
Au1 0.000 0.000 0.792

=====

6.
# GGA-PBE Gd3MgZn2Pt2Au, relaxed
# **Final energy**: -0.169 Ha/atom
# **Crystal system**: orthorhombic
data_Gd3MgZn2Pt2Au
_chemical_formula_sum 'Gd6 Mg2 Zn4 Pt4 Au2'
_cell_length_a 3.929
_cell_length_b 12.897
_cell_length_c 7.462
_cell_angle_alpha 90.00
_cell_angle_beta 90.00
_cell_angle_gamma 90.00
_space_group_name_H-M_alt 'A m m 2'
_space_group_IT_number 38
loop_
_space_group_symop_operation_xyz
'x,y,z'
'-x,-y,z'
'-x,y,z'
'x,-y,z'
'x,y+1/2,z+1/2'
'-x,-y+1/2,z+1/2'
'-x,y+1/2,z+1/2'
'x,-y+1/2,z+1/2'
loop_
_atom_site_label
_atom_site_fract_x
_atom_site_fract_y
_atom_site_fract_z
Gd1 0.000 0.000 0.000
Gd2 0.000 0.213 0.599
Mg1 0.500 0.000 0.648
Zn1 0.500 0.129 0.270
Pt1 0.500 0.165 0.893
Au1 0.000 0.000 0.399

=====

7.
# GGA-PBE Gd3Mg2ZnPt2Au, relaxed
# **Final energy**: -0.170 Ha/atom
# **Crystal system**: orthorhombic
data_Gd3Mg2ZnPt2Au
_chemical_formula_sum 'Gd6 Mg4 Zn2 Pt4 Au2'
_cell_length_a 3.998
_cell_length_b 13.018
_cell_length_c 7.474
_cell_angle_alpha 90.00
_cell_angle_beta 90.00
_cell_angle_gamma 90.00
_space_group_name_H-M_alt 'A m m 2'
_space_group_IT_number 38
loop_
_space_group_symop_operation_xyz
'x,y,z'
'-x,-y,z'
'-x,y,z'
'x,-y,z'
'x,y+1/2,z+1/2'
'-x,-y+1/2,z+1/2'
'-x,y+1/2,z+1/2'
'x,-y+1/2,z+1/2'
loop_
_atom_site_label
_atom_site_fract_x
_atom_site_fract_y
_atom_site_fract_z
Gd1 0.000 0.000 0.000
Gd2 0.000 0.200 0.358
Mg1 0.500 0.125 0.697
Zn1 0.500 0.000 0.317
Pt1 0.500 0.168 0.068
Au1 0.000 0.000 0.573

=====

8.
# GGA-PBE GdMgAuSeS2, relaxed
# **Final energy**: -0.172 Ha/atom
# **Crystal system**: orthorhombic
data_GdMgAuSeS2
_chemical_formula_sum 'Gd4 Mg4 Au4 Se4 S8'
_cell_length_a 4.028
_cell_length_b 13.477
_cell_length_c 10.738
_cell_angle_alpha 90.00
_cell_angle_beta 90.00
_cell_angle_gamma 90.00
_space_group_name_H-M_alt 'C m c m'
_space_group_IT_number 63
_space_group_name_Hall '-C 2c 2'
loop_
_atom_site_label
_atom_site_fract_x
_atom_site_fract_y
_atom_site_fract_z
Gd1 0.000 0.000 0.000
Mg1 0.000 0.295 0.250
Au1 0.000 0.359 0.750
Se1 0.000 0.084 0.750
S1 0.000 0.361 0.534

=====

9.
# GGA-PBE GdMgTe2AuSe, relaxed
# **Final energy**: -0.149 Ha/atom
# **Crystal system**: orthorhombic
data_GdMgTe2AuSe
_chemical_formula_sum 'Gd4 Mg4 Te8 Au4 Se4'
_cell_length_a 4.071
_cell_length_b 14.232
_cell_length_c 10.699
_cell_angle_alpha 90.00
_cell_angle_beta 90.00
_cell_angle_gamma 90.00
_space_group_name_H-M_alt 'C m c m'
_space_group_IT_number 63
_space_group_name_Hall '-C 2c 2'
loop_
_atom_site_label
_atom_site_fract_x
_atom_site_fract_y
_atom_site_fract_z
Gd1 0.000 0.000 0.000
Mg1 0.000 0.254 0.250
Te1 0.000 0.342 0.569
Au1 0.000 0.479 0.750
Se1 0.000 0.106 0.750

=====

10.
# GGA-PBE Gd3Mg3TlAu2, relaxed
# **Final energy**: -0.132 Ha/atom
# **Crystal system**: hexagonal
data_Gd3Mg3TlAu2
_chemical_formula_sum 'Gd3 Mg3 Tl1 Au2'
_cell_length_a 7.6819
_cell_length_b 7.6819
_cell_length_c 4.2288
_cell_angle_alpha 90.00
_cell_angle_beta 90.00
_cell_angle_gamma 120.00
_space_group_name_H-M_alt 'P -6 2 m'
_space_group_IT_number 189
_space_group_name_Hall 'P -6 -2'
loop_
_atom_site_label
_atom_site_fract_x
_atom_site_fract_y
_atom_site_fract_z
Gd1 0.0000 0.5799 0.0000
Mg1 0.0000 0.2571 0.5000
Tl1 0.0000 0.0000 0.0000
Au1 0.3333 0.6667 0.5000

=====

11.
# GGA-PBE GdYMg2Au4, relaxed
# **Final energy**: -0.154 Ha/atom
# **Crystal system**: tetragonal
data_GdYMg2Au4
_chemical_formula_sum 'Gd1 Y1 Mg2 Au4'
_cell_length_a 4.911
_cell_length_b 4.911
_cell_length_c 6.945
_cell_angle_alpha 90.00
_cell_angle_beta 90.00
_cell_angle_gamma 90.00
_space_group_name_H-M_alt 'P 4/m m m'
_space_group_IT_number 123
_space_group_name_Hall '-P 4 2'
loop_
_atom_site_label
_atom_site_fract_x
_atom_site_fract_y
_atom_site_fract_z
Gd1 0.000 0.000 0.000
Y1 0.500 0.500 0.500
Mg1 0.000 0.000 0.500
Mg2 0.500 0.500 0.000
Au1 0.000 0.500 0.250

=====

12.
# GGA-PBE Gd3Mg3ZnAu2, relaxed
# **Final energy**: -0.128 Ha/atom
# **Crystal system**: hexagonal
data_Gd3Mg3ZnAu2
_chemical_formula_sum 'Gd3 Mg3 Zn1 Au2'
_cell_length_a 7.6625
_cell_length_b 7.6625
_cell_length_c 4.1084
_cell_angle_alpha 90.00
_cell_angle_beta 90.00
_cell_angle_gamma 120.00
_space_group_name_H-M_alt 'P -6 2 m'
_space_group_IT_number 189
_space_group_name_Hall 'P -6 -2'
loop_
_atom_site_label
_atom_site_fract_x
_atom_site_fract_y
_atom_site_fract_z
Gd1 0.0000 0.4144 0.0000
Mg1 0.0000 0.7560 0.5000
Zn1 0.0000 0.0000 0.0000
Au1 0.3333 0.6667 0.5000